# Ba2TcAs, relaxed, DFT GGA-PBE
# total moment = 0.7216 μB per atom
# energy of formation = 0.344 eV per atom
# Fermi-level density of states = 4.52 states/eV/f.u.
data_Ba2TcAs
_cell_length_a 3.5281
_cell_length_b 4.2901
_cell_length_c 8.3631
_cell_angle_alpha 90.00
_cell_angle_beta 90.00
_cell_angle_gamma 90.00
_space_group_name_H-M_alt 'P m m m'
_space_group_IT_number 47
_space_group_name_Hall '-P 2 2'
loop_
_atom_site_label
_atom_site_fract_x
_atom_site_fract_y
_atom_site_fract_z
Ba1 0.0000 0.0000 0.2377
Tc1 0.5000 0.5000 0.5000
As1 0.5000 0.5000 0.0000